1.
VASP calculation (PBE) on a geometry-optimized LiAlSb2Ru structure.

The structure belongs to space group P4/mmm (No. 123); the cell edges are 5.160, 5.160 and 4.406 Å and the angles 90.00°, 90.00° and 90.00°. The asymmetric unit holds Li at (0.000, 0.000, 0.000), Al at (0.000, 0.000, 0.500), Sb at (0.000, 0.500, 0.500) and Ru at (0.500, 0.500, 0.000).

The raw formation energy is 0.990 eV per atom. The calculation puts the total magnetic moment at 1.47 μB/cell.

2.
VASP calculation (PBE) on a geometry-optimized LiMnPt2 structure.

The structure belongs to space group F-43m (No. 216); the cell edges are 6.212, 6.212 and 6.212 Å and the angles 90.00°, 90.00° and 90.00°. The asymmetric unit holds Li at (0.000, 0.000, 0.000), Mn at (0.250, 0.250, 0.750), Pt at (0.000, 0.000, 0.500) and Pt at (0.250, 0.250, 0.250).

Its formation enthalpy at 0 K is -111 kJ/mol of formula units. Its distance to the lowest polymorph of the same formula is 0.2076 eV per atom. The calculation puts the total magnetic moment at 17.72 μB/cell.

3.
VASP calculation (PBE) on a geometry-optimized Ca3Ac5Pd12 structure.

The structure belongs to space group Ia-3d (No. 230); the cell edges are 16.701, 16.701 and 16.701 Å and the angles 90.00°, 90.00° and 90.00°. The asymmetric unit holds Ca at (0.000, 0.250, 0.125), Ac at (0.000, 0.000, 0.000), Ac at (0.000, 0.250, 0.375) and Pd at (0.001, 0.080, 0.153).

Its formation enthalpy at 0 K is -628 kJ/mol of formula units. The calculation puts the total magnetic moment at 0.00 μB/cell.